No. 1
The following is a DFT calculation (GGA-PBE) of a relaxed structure of RbYPt4.

Properties
DFT formation energy: -541 meV per atom
N(E_F): 14.298 states/eV/cell

Lattice parameters (Å, degrees): 7.8152 7.8152 7.8152 90.00 90.00 90.00
Closest atoms and distances in Å follow each position.
Space group F-43m (No. 216)
Asymmetric unit:
Rb 0.0000 0.0000 0.0000 (multiplicity 4)  12 Pt 3.24, 4 Y 3.38
Y 0.2500 0.2500 0.2500 (multiplicity 4)  12 Pt 3.24, 4 Rb 3.38
Pt 0.1247 0.1247 0.6247 (multiplicity 16)  6 Pt 2.76-2.77

---

No. 2
The following is a DFT calculation (GGA-PBE) of a relaxed structure of TlReBr2.

Properties
E_tot: -3.569 eV/atom
N(E_F): 1.897 states/eV/cell

Lattice parameters (Å, degrees): 3.4291 4.7930 6.3150 90.00 90.00 90.00
Closest atoms and distances in Å follow each position.
Space group Pmmm (No. 47)
Asymmetric unit:
Tl 0.0000 0.0000 0.0000 (multiplicity 1)  4 Br 2.95
Re 0.5000 0.0000 0.5000 (multiplicity 1)  4 Br 2.95
Br 0.0000 0.5000 0.5000 (multiplicity 1)  4 Re 2.95
Br 0.5000 0.5000 0.0000 (multiplicity 1)  4 Tl 2.95

---

No. 3
The following is a DFT calculation (GGA-PBE) of a relaxed structure of LiPmNdSn.

Properties
DFT formation energy: -448 meV per atom
N(E_F): 11.849 states/eV/cell

Lattice parameters (Å, degrees): 7.5992 7.5992 7.5992 90.00 90.00 90.00
Closest atoms and distances in Å follow each position.
Space group F-43m (No. 216)
Asymmetric unit:
Li 0.0000 0.0000 0.0000 (multiplicity 4)  4 Nd 3.29, 4 Pm 3.29
Pm 0.2500 0.2500 0.2500 (multiplicity 4)  4 Li 3.29, 4 Sn 3.29
Nd 0.2500 0.2500 0.7500 (multiplicity 4)  4 Sn 3.29, 4 Li 3.29
Sn 0.0000 0.0000 0.5000 (multiplicity 4)  4 Pm 3.29, 4 Nd 3.29

---

No. 4
The following is a DFT calculation (GGA-PBE) of a relaxed structure of LaGdHoSn.

Properties
DFT formation energy: -272 meV per atom
N(E_F): 19.119 states/eV/cell

Lattice parameters (Å, degrees): 7.8222 7.8222 7.8222 90.00 90.00 90.00
Closest atoms and distances in Å follow each position.
Space group F-43m (No. 216)
Asymmetric unit:
La 0.0000 0.0000 0.0000 (multiplicity 4)  4 Sn 3.39, 4 Ho 3.39
Gd 0.0000 0.0000 0.5000 (multiplicity 4)  4 Sn 3.39, 4 Ho 3.39
Ho 0.2500 0.2500 0.2500 (multiplicity 4)  4 Gd 3.39, 4 La 3.39
Sn 0.2500 0.2500 0.7500 (multiplicity 4)  4 Gd 3.39, 4 La 3.39

---

No. 5
The following is a DFT calculation (GGA-PBE) of a relaxed structure of LaZnW2.

Properties
DFT formation energy: 648 meV per atom
N(E_F): 8.147 states/eV/cell

Lattice parameters (Å, degrees): 2.7225 5.2626 10.7660 90.00 90.00 90.00
Closest atoms and distances in Å follow each position.
Space group Immm (No. 71)
Asymmetric unit:
La 0.0000 0.0000 0.0000 (multiplicity 2)  2 La 2.72, 4 Zn 2.96
Zn 0.0000 0.0000 0.5000 (multiplicity 2)  2 Zn 2.72, 4 W 2.77, 4 La 2.96
W 0.0000 0.5000 0.2245 (multiplicity 4)  6 W 2.72-3.01, 2 Zn 2.77

---

No. 6
The following is a DFT calculation (GGA-PBE) of a relaxed structure of MnWAu2.

Properties
DFT formation energy: 365 meV per atom
N(E_F): 5.734 states/eV/cell

Lattice parameters (Å, degrees): 4.0143 4.0143 7.9697 90.00 90.00 90.00
Closest atoms and distances in Å follow each position.
Space group I-4m2 (No. 119)
Asymmetric unit:
Mn 0.0000 0.0000 0.0000 (multiplicity 2)  4 W 2.83, 8 Au 2.83-2.84
W 0.0000 0.5000 0.7500 (multiplicity 2)  4 Mn 2.83, 8 Au 2.83-2.84
Au 0.0000 0.0000 0.5000 (multiplicity 2)  4 W 2.83, 4 Au 2.83, 4 Mn 2.84
Au 0.0000 0.5000 0.2500 (multiplicity 2)  4 Mn 2.83, 4 Au 2.83, 4 W 2.84

---

No. 7
The following is a DFT calculation (GGA-PBE) of a relaxed structure of Cs2K5Li.

Properties
DFT formation energy: 100 meV per atom
N(E_F): 10.116 states/eV/cell

Lattice parameters (Å, degrees): 8.8072 8.8072 17.7199 90.00 90.00 90.00
Closest atoms and distances in Å follow each position.
Space group I4mm (No. 107)
Asymmetric unit:
Cs 0.0000 0.5000 0.0000 (multiplicity 4)  6 K 4.74-5.13, 2 Li 4.76
K 0.0000 0.0000 0.4009 (multiplicity 2)  1 Li 3.55
K 0.2450 0.2450 0.7299 (multiplicity 8)  1 Li 3.81
Li 0.0000 0.0000 0.6014 (multiplicity 2)  5 K 3.55-3.81

---

No. 8
The following is a DFT calculation (GGA-PBE) of a relaxed structure of CeTm3Tl3Se8.

Properties
E_tot: -5.043 eV/atom
N(E_F): 3.778 states/eV/cell

Lattice parameters (Å, degrees): 8.2725 8.2725 23.4211 90.00 90.00 120.00
Closest atoms and distances in Å follow each position.
Space group R-3m (No. 166, hexagonal axes)
Asymmetric unit:
Ce 0.0000 0.0000 0.0000 (multiplicity 3)  6 Se 2.88
Tm 0.0000 0.5000 0.0000 (multiplicity 9)  6 Se 2.85-2.86
Tl 0.0000 0.5000 0.5000 (multiplicity 9)  6 Se 3.34-3.35
Se 0.0000 0.0000 0.2664 (multiplicity 6)  3 Tm 2.86
Se 0.0033 0.5016 0.2663 (multiplicity 18)  2 Tm 2.85, 1 Ce 2.88

---

No. 9
The following is a DFT calculation (GGA-PBE) of a relaxed structure of CoReW2.

Properties
DFT formation energy: 208 meV per atom
N(E_F): 24.678 states/eV/cell

Lattice parameters (Å, degrees): 6.1832 6.1832 6.1832 90.00 90.00 90.00
Closest atoms and distances in Å follow each position.
Space group Fm-3m (No. 225)
Asymmetric unit:
Co 0.0000 0.0000 0.0000 (multiplicity 4)  8 W 2.68
Re 0.0000 0.0000 0.5000 (multiplicity 4)  8 W 2.68
W 0.2500 0.2500 0.2500 (multiplicity 8)  4 Co 2.68, 4 Re 2.68

---

No. 10
The following is a DFT calculation (GGA-PBE) of a relaxed structure of Y2MgP.

Properties
DFT formation energy: -587 meV per atom
N(E_F): 5.487 states/eV/cell

Lattice parameters (Å, degrees): 4.4393 5.3904 8.3873 90.00 90.00 90.00
Closest atoms and distances in Å follow each position.
Space group Cmmm (No. 65)
Asymmetric unit:
Y 0.0000 0.0000 0.2035 (multiplicity 4)  2 P 2.80
Mg 0.0000 0.5000 0.5000 (multiplicity 2)  8 Y 3.33-3.67, 4 Mg 3.49
P 0.0000 0.5000 0.0000 (multiplicity 2)  4 Y 2.80

---

No. 11
The following is a DFT calculation (GGA-PBE) of a relaxed structure of Sm2BiCl2.

Properties
E_tot: -4.929 eV/atom
N(E_F): 6.563 states/eV/cell

Lattice parameters (Å, degrees): 4.3047 4.3047 31.0844 90.00 90.00 120.00
Closest atoms and distances in Å follow each position.
Space group R-3m (No. 166, hexagonal axes)
Asymmetric unit:
Sm 0.0000 0.0000 0.1062 (multiplicity 6)  3 Cl 2.92, 3 Bi 3.12
Bi 0.0000 0.0000 0.5000 (multiplicity 3)  6 Sm 3.12
Cl 0.0000 0.0000 0.2763 (multiplicity 6)  3 Sm 2.92

---

No. 12
The following is a DFT calculation (GGA-PBE) of a relaxed structure of Ru2W.

Properties
DFT formation energy: 43 meV per atom
N(E_F): 4.650 states/eV/cell

Lattice parameters (Å, degrees): 4.3530 4.3530 5.4299 90.00 90.00 120.00
Closest atoms and distances in Å follow each position.
Space group P6_3/mmc (No. 194)
Asymmetric unit:
Ru 0.0000 0.0000 0.0000 (multiplicity 2)  8 Ru 2.71-2.86, 6 W 2.86
Ru 0.3333 0.6667 0.2500 (multiplicity 2)  5 W 2.51-2.71
W 0.3333 0.6667 0.7500 (multiplicity 2)  5 Ru 2.51-2.71